Entry 1:
Here is a relaxed CuW crystal from Alexandria via LeMat-Bulk. Energies are from PBE.

Summary:
* energy of formation from the pure elements: 0.3905 eV per atom
* uncorrected energy: -8.134 eV/atom
* D(E_F): 4.9 states/eV/cell
* M_tot: 0.0 μB per formula unit
* space-group type: No. 70

Lattice parameters (Å, degrees): 9.9544 8.7533 5.1090 87.67 61.48 30.85
Fractional coordinates of all 8 atoms:
Cu 0.0116 0.7384 0.0116
Cu 0.2616 0.9884 0.2616
Cu 0.7384 0.0116 0.7384
Cu 0.9884 0.2616 0.9884
W 0.2627 0.2627 0.4873
W 0.4873 0.4873 0.2627
W 0.5127 0.5127 0.7373
W 0.7373 0.7373 0.5127

Entry 2:
Here is a relaxed CuW crystal from Alexandria via LeMat-Bulk. Energies are from PBE.

Summary:
* energy of formation from the pure elements: 0.3346 eV per atom
* uncorrected energy: -8.190 eV/atom
* D(E_F): 2.0 states/eV/cell
* M_tot: 0.0 μB per formula unit
* space-group type: No. 129

Lattice parameters (Å, degrees): 3.2185 3.2185 5.5588 90.00 90.00 90.00
Fractional coordinates of all 4 atoms:
Cu 0.2500 0.2500 0.1032
Cu 0.7500 0.7500 0.8968
W 0.2500 0.2500 0.6226
W 0.7500 0.7500 0.3774

Entry 3:
Here is a relaxed CuW3 crystal from Alexandria via LeMat-Bulk. Energies are from PBE.

Summary:
* energy of formation from the pure elements: 0.4437 eV per atom
* uncorrected energy: -10.295 eV/atom
* D(E_F): 3.6 states/eV/cell
* M_tot: 0.0 μB per formula unit
* space-group type: No. 166

Lattice parameters (Å, degrees): 9.6222 9.6222 9.6222 16.49 16.49 16.49
Fractional coordinates of all 4 atoms:
Cu 0.0000 0.0000 0.0000
W 0.2538 0.2538 0.2538
W 0.5000 0.5000 0.5000
W 0.7462 0.7462 0.7462

Entry 4:
Here is a relaxed CuW crystal from Alexandria via LeMat-Bulk. Energies are from PBE.

Summary:
* energy of formation from the pure elements: 0.5595 eV per atom
* uncorrected energy: -7.965 eV/atom
* D(E_F): 2.8 states/eV/cell
* M_tot: 0.0 μB per formula unit
* space-group type: No. 63

Lattice parameters (Å, degrees): 5.3122 5.3122 4.3918 90.00 90.00 151.54
Fractional coordinates of all 4 atoms:
Cu 0.1791 0.8209 0.7500
Cu 0.8209 0.1791 0.2500
W 0.4323 0.5677 0.7500
W 0.5677 0.4323 0.2500

Entry 5:
Here is a relaxed Cu7W crystal from Alexandria via LeMat-Bulk. Energies are from PBE.

Summary:
* energy of formation from the pure elements: 0.3253 eV per atom
* uncorrected energy: -4.878 eV/atom
* D(E_F): 7.4 states/eV/cell
* M_tot: 1.2 μB per formula unit
* space-group type: No. 225

Lattice parameters (Å, degrees): 5.2384 5.2384 5.2384 60.00 60.00 60.00
Fractional coordinates of all 8 atoms:
Cu 0.0000 0.0000 0.0000
Cu 0.0000 0.0000 0.5000
Cu 0.0000 0.5000 0.0000
Cu 0.0000 0.5000 0.5000
Cu 0.5000 0.0000 0.0000
Cu 0.5000 0.0000 0.5000
Cu 0.5000 0.5000 0.0000
W 0.5000 0.5000 0.5000

Entry 6:
Here is a relaxed CuW crystal from Alexandria via LeMat-Bulk. Energies are from PBE.

Summary:
* energy of formation from the pure elements: 0.4987 eV per atom
* uncorrected energy: -8.026 eV/atom
* D(E_F): 9.2 states/eV/cell
* M_tot: 0.0 μB per formula unit
* space-group type: No. 19

Lattice parameters (Å, degrees): 5.0337 6.3294 7.3468 90.00 90.00 90.00
Fractional coordinates of all 16 atoms:
Cu 0.0121 0.0638 0.3058
Cu 0.0241 0.8799 0.0164
Cu 0.4759 0.1201 0.5164
Cu 0.4879 0.9362 0.8058
Cu 0.5121 0.4362 0.6942
Cu 0.5241 0.6201 0.9836
Cu 0.9759 0.3799 0.4836
Cu 0.9879 0.5638 0.1942
W 0.0095 0.5682 0.7978
W 0.2448 0.7450 0.4968
W 0.2552 0.2550 0.9968
W 0.4905 0.4318 0.2978
W 0.5095 0.9318 0.2022
W 0.7448 0.7550 0.5032
W 0.7552 0.2450 0.0032
W 0.9905 0.0682 0.7022

Entry 7:
Here is a relaxed CuW crystal from Alexandria via LeMat-Bulk. Energies are from PBE.

Summary:
* energy of formation from the pure elements: 0.6097 eV per atom
* uncorrected energy: -7.915 eV/atom
* D(E_F): 10.5 states/eV/cell
* M_tot: 0.0 μB per formula unit
* space-group type: No. 176

Lattice parameters (Å, degrees): 9.0165 9.0165 2.6287 90.00 90.00 120.00
Fractional coordinates of all 12 atoms:
Cu 0.0467 0.2671 0.2500
Cu 0.2204 0.9533 0.2500
Cu 0.2671 0.2204 0.7500
Cu 0.7329 0.7796 0.2500
Cu 0.7796 0.0467 0.7500
Cu 0.9533 0.7329 0.7500
W 0.1447 0.6310 0.2500
W 0.3690 0.5137 0.2500
W 0.4863 0.8553 0.2500
W 0.5137 0.1447 0.7500
W 0.6310 0.4863 0.7500
W 0.8553 0.3690 0.7500

Entry 8:
Here is a relaxed Cu4W crystal from Alexandria via LeMat-Bulk. Energies are from PBE.

Summary:
* energy of formation from the pure elements: 0.6027 eV per atom
* uncorrected energy: -5.265 eV/atom
* D(E_F): 2.9 states/eV/cell
* M_tot: 0.0 μB per formula unit
* space-group type: No. 139

Lattice parameters (Å, degrees): 6.3556 6.3556 6.3556 149.24 149.24 44.06
Fractional coordinates of all 5 atoms:
Cu 0.1003 0.1003 0.0000
Cu 0.2500 0.7500 0.5000
Cu 0.7500 0.2500 0.5000
Cu 0.8997 0.8997 0.0000
W 0.5000 0.5000 0.0000

Entry 9:
Here is a relaxed CuW3 crystal from Alexandria via LeMat-Bulk. Energies are from PBE.

Summary:
* energy of formation from the pure elements: 0.3738 eV per atom
* uncorrected energy: -10.365 eV/atom
* D(E_F): 3.1 states/eV/cell
* M_tot: 0.0 μB per formula unit
* space-group type: No. 47

Lattice parameters (Å, degrees): 2.6418 4.2190 5.5587 90.00 90.00 90.00
Fractional coordinates of all 4 atoms:
Cu 0.0000 0.0000 0.0000
W 0.0000 0.0000 0.5000
W 0.5000 0.5000 0.2429
W 0.5000 0.5000 0.7571

Entry 10:
Here is a relaxed CuW3 crystal from Alexandria via LeMat-Bulk. Energies are from PBE.

Summary:
* energy of formation from the pure elements: 0.3979 eV per atom
* uncorrected energy: -10.341 eV/atom
* D(E_F): 3.1 states/eV/cell
* M_tot: 0.0 μB per formula unit
* space-group type: No. 44

Lattice parameters (Å, degrees): 5.4358 5.4358 5.4358 151.80 63.30 124.62
Fractional coordinates of all 4 atoms:
Cu 0.0000 0.0000 0.0000
W 0.0622 0.3138 0.7484
W 0.5102 0.0102 0.5000
W 0.5655 0.3138 0.2516

Entry 11:
Here is a relaxed CuW crystal from Alexandria via LeMat-Bulk. Energies are from PBE.

Summary:
* energy of formation from the pure elements: 0.2586 eV per atom
* uncorrected energy: -8.266 eV/atom
* D(E_F): 2.4 states/eV/cell
* M_tot: 0.0 μB per formula unit
* space-group type: No. 11

Lattice parameters (Å, degrees): 2.6430 4.2308 5.1238 90.00 98.51 90.00
Fractional coordinates of all 4 atoms:
Cu 0.0320 0.2500 0.1220
Cu 0.9680 0.7500 0.8780
W 0.3825 0.2500 0.6414
W 0.6175 0.7500 0.3586

Entry 12:
Here is a relaxed CuW crystal from Alexandria via LeMat-Bulk. Energies are from PBE.

Summary:
* energy of formation from the pure elements: 0.3483 eV per atom
* uncorrected energy: -8.176 eV/atom
* D(E_F): 3.1 states/eV/cell
* M_tot: 0.0 μB per formula unit
* space-group type: No. 164

Lattice parameters (Å, degrees): 2.7368 2.7368 9.0055 90.00 90.00 120.00
Fractional coordinates of all 4 atoms:
Cu 0.3333 0.6667 0.1141
Cu 0.6667 0.3333 0.8859
W 0.3333 0.6667 0.6374
W 0.6667 0.3333 0.3626